Compound: PClF
Source: Alexandria
Functional: PBE
Structure: optimized geometry

Unit cell a=5.0544 b=11.9956 c=5.4143 alpha=90.00 beta=93.70 gamma=90.00
Fractional positions:
P1 0.3560 0.0000 0.3219
P2 0.3560 0.5000 0.8219
P3 0.3941 0.0000 0.7510
P4 0.3941 0.5000 0.2510
F1 0.6021 0.6020 0.2798
F2 0.6021 0.3980 0.2798
F3 0.6021 0.1020 0.7798
F4 0.6021 0.8980 0.7798
Cl1 0.1020 0.8649 0.3125
Cl2 0.1020 0.1351 0.3125
Cl3 0.1020 0.3649 0.8125
Cl4 0.1020 0.6351 0.8125

Formation energy without anion corrections   -1251 meV/atom
V   328 Å³ per cell
Energy above the lowest structure with this stoichiometry   0.7 meV/atom
Density   1732 kg/m3
Crystal system   monoclinic

Compound: Y2ErThSc
Source: Alexandria
Functional: PBE
Structure: optimized geometry

Unit cell a=6.6051 b=7.7835 c=6.1517 alpha=90.01 beta=90.00 gamma=90.00
Fractional positions:
Y1 0.7213 0.7071 0.7502
Y2 0.7213 0.2929 0.7498
Y3 0.2787 0.7071 0.2502
Y4 0.2787 0.2929 0.2498
Er1 0.1844 0.5000 0.7500
Er2 0.8156 0.5000 0.2500
Th1 0.5939 0.0000 0.2500
Th2 0.4061 0.0000 0.7500
Sc1 0.0000 0.0000 0.0000
Sc2 0.0000 0.0000 0.5000

V   316 Å³ per cell
Formation energy from the elements   0.302 eV per atom
Density   6532 kg/m3
Crystal system   orthorhombic

Compound: TlCdAsCl6
Source: Alexandria
Functional: PBE
Structure: optimized geometry

Unit cell a=6.7670 b=6.7669 c=7.0719 alpha=90.00 beta=90.00 gamma=60.00
Fractional positions:
Tl1 0.0000 0.0000 0.0000
Cd1 0.6666 0.6667 0.5000
As1 0.3333 0.3333 0.5000
Cl1 0.0153 0.3626 0.2919
Cl2 0.3625 0.0154 0.7081
Cl3 0.6220 0.3626 0.7081
Cl4 0.0153 0.6221 0.7081
Cl5 0.3625 0.6221 0.2919
Cl6 0.6220 0.0154 0.2919

Formation energy without anion corrections   -885 meV/atom
V   280 Å³ per cell
Density   3579 kg/m3
Crystal system   trigonal

Compound: CaPuIr
Source: Alexandria
Functional: PBE
Structure: optimized geometry

Unit cell a=6.2926 b=4.0113 c=4.0113 alpha=120.00 beta=90.00 gamma=90.00
Each line ends with the local moment (μB).
Fractional positions:
Ca1 0.7403 0.6667 0.3333  0.02
Ir1 0.0229 0.0000 0.0000  -0.32
Pu1 0.2368 0.3333 0.6667  5.11

V   88 Å³ per cell
Energy above the lowest structure with this stoichiometry   197.0 meV/atom
Formation energy from the elements   -0.169 eV per atom
Density   9020 kg/m3
Crystal system   trigonal